Density functional theory data (GGA+U) for Rb2MnCl2F2 after structural relaxation.

abc: 4.5192 4.5192 16.1341
angles: 90.00 90.00 90.00
Last column: nearest neighbours and their distance in Å.
Space group I4/mmm (No. 139)
Unique sites:
Rb  0.0000  0.0000  0.1291 (multiplicity 4)  4 F 3.07, 4 Cl 3.23
Mn  0.0000  0.0000  0.5000 (multiplicity 2)  4 F 2.26, 2 Cl 2.53
Cl  0.0000  0.0000  0.3432 (multiplicity 4)  1 Mn 2.53
F  0.0000  0.5000  0.0000 (multiplicity 4)  2 Mn 2.26

Computed properties:
DOS(E_F) ... 0.0 states/eV per cell
VASP energy ... -4.65 eV per atom